1.
Computed, not measured: an optimized crystal structure of Li12Ac2Bi7 at the PBE level of DFT.

```
data_Li12Ac2Bi7
_cell_length_a 11.3959
_cell_length_b 11.3959
_cell_length_c 4.5621
_cell_angle_alpha 90.00
_cell_angle_beta 90.00
_cell_angle_gamma 120.00
_space_group_name_H-M_alt 'P -6'
_space_group_IT_number 174
_space_group_name_Hall 'P -6'
loop_
_atom_site_label
_atom_site_fract_x
_atom_site_fract_y
_atom_site_fract_z
Li1 0.0414 0.4242 0.0000
Li2 0.1247 0.2858 0.5000
Li3 0.2197 0.1246 0.0000
Li4 0.4251 0.3837 0.5000
Ac1 0.3333 0.6667 0.5000
Ac2 0.6667 0.3333 0.0000
Bi1 0.0000 0.0000 0.5000
Bi2 0.1238 0.7081 0.0000
Bi3 0.4118 0.1258 0.5000
```

Summary:
E_form: -0.564 eV per atom



2.
Computed, not measured: an optimized crystal structure of Li2AcBi at the PBE level of DFT.

```
data_Li2AcBi
_cell_length_a 7.441
_cell_length_b 7.441
_cell_length_c 7.441
_cell_angle_alpha 90.00
_cell_angle_beta 90.00
_cell_angle_gamma 90.00
_space_group_name_H-M_alt 'F m -3 m'
_space_group_IT_number 225
_space_group_name_Hall '-F 4 2 3'
loop_
_atom_site_label
_atom_site_fract_x
_atom_site_fract_y
_atom_site_fract_z
Li1 0.250 0.250 0.250
Ac1 0.000 0.000 0.000
Bi1 0.000 0.000 0.500
```

Summary:
E_form: -0.324 eV per atom



3.
Computed, not measured: an optimized crystal structure of Li3AcBi2 at the PBE level of DFT.

```
data_Li3AcBi2
_cell_length_a 17.437
_cell_length_b 4.656
_cell_length_c 8.622
_cell_angle_alpha 90.00
_cell_angle_beta 115.49
_cell_angle_gamma 90.00
_space_group_name_H-M_alt 'C 1 2/m 1'
_space_group_IT_number 12
_space_group_name_Hall '-C 2y'
loop_
_atom_site_label
_atom_site_fract_x
_atom_site_fract_y
_atom_site_fract_z
Li1 0.062 0.000 0.415
Li2 0.098 0.500 0.651
Li3 0.197 0.500 0.483
Ac1 0.131 0.000 0.043
Bi1 0.027 0.500 0.226
Bi2 0.212 0.000 0.730
```

Summary:
E_form: -0.641 eV per atom



4.
Computed, not measured: an optimized crystal structure of Li2AcBi at the PBE level of DFT.

```
data_Li2AcBi
_cell_length_a 4.820
_cell_length_b 4.820
_cell_length_c 5.172
_cell_angle_alpha 90.00
_cell_angle_beta 90.00
_cell_angle_gamma 90.00
_space_group_name_H-M_alt 'P 4/m m m'
_space_group_IT_number 123
_space_group_name_Hall '-P 4 2'
loop_
_atom_site_label
_atom_site_fract_x
_atom_site_fract_y
_atom_site_fract_z
Li1 0.000 0.500 0.000
Ac1 0.000 0.000 0.500
Bi1 0.500 0.500 0.500
```

Summary:
E_form: -0.378 eV per atom



5.
Computed, not measured: an optimized crystal structure of Li3AcBi3 at the PBE level of DFT.

```
data_Li3AcBi3
_cell_length_a 7.362
_cell_length_b 7.362
_cell_length_c 7.362
_cell_angle_alpha 90.00
_cell_angle_beta 90.00
_cell_angle_gamma 90.00
_space_group_name_H-M_alt 'P m -3 n'
_space_group_IT_number 223
_space_group_name_Hall '-P 4n 2 3'
loop_
_atom_site_label
_atom_site_fract_x
_atom_site_fract_y
_atom_site_fract_z
Li1 0.000 0.250 0.500
Ac1 0.000 0.000 0.000
Bi1 0.000 0.500 0.250
```

Summary:
E_form: -0.198 eV per atom



6.
Computed, not measured: an optimized crystal structure of LiAcBi4 at the PBE level of DFT.

```
data_LiAcBi4
_cell_length_a 9.383
_cell_length_b 9.383
_cell_length_c 9.383
_cell_angle_alpha 90.00
_cell_angle_beta 90.00
_cell_angle_gamma 90.00
_space_group_name_H-M_alt 'F -4 3 m'
_space_group_IT_number 216
_space_group_name_Hall 'F -4 2 3'
loop_
_atom_site_label
_atom_site_fract_x
_atom_site_fract_y
_atom_site_fract_z
Li1 0.000 0.000 0.000
Ac1 0.250 0.250 0.250
Bi1 0.125 0.125 0.625
```

Summary:
E_form: -0.206 eV per atom



7.
Computed, not measured: an optimized crystal structure of NaLi3Ac2Bi4 at the PBE level of DFT.

```
data_NaLi3Ac2Bi4
_cell_length_a 4.927
_cell_length_b 4.927
_cell_length_c 11.899
_cell_angle_alpha 90.00
_cell_angle_beta 90.00
_cell_angle_gamma 90.00
_space_group_name_H-M_alt 'P -4 m 2'
_space_group_IT_number 115
_space_group_name_Hall 'P -4 -2'
loop_
_atom_site_label
_atom_site_fract_x
_atom_site_fract_y
_atom_site_fract_z
Na1 0.000 0.000 0.000
Li1 0.000 0.500 0.385
Li2 0.500 0.500 0.000
Ac1 0.000 0.500 0.726
Bi1 0.000 0.000 0.500
Bi2 0.000 0.500 0.159
Bi3 0.500 0.500 0.500
```

Summary:
E_form: -0.639 eV per atom



8.
Computed, not measured: an optimized crystal structure of LiAc2BiO6 at the PBE level of DFT.

```
data_LiAc2BiO6
_cell_length_a 5.883
_cell_length_b 6.084
_cell_length_c 10.163
_cell_angle_alpha 90.00
_cell_angle_beta 124.87
_cell_angle_gamma 90.00
_space_group_name_H-M_alt 'P 1 21/c 1'
_space_group_IT_number 14
_space_group_name_Hall '-P 2ybc'
loop_
_atom_site_label
_atom_site_fract_x
_atom_site_fract_y
_atom_site_fract_z
Li1 0.000 0.000 0.000
Ac1 0.236 0.054 0.749
Bi1 0.500 0.000 0.500
O1 0.159 0.197 0.452
O2 0.252 0.711 0.447
O3 0.349 0.034 0.253
```

Summary:
uncorrected formation energy: -2.35 eV/atom



9.
Computed, not measured: an optimized crystal structure of Li3AcBi4O12 at the PBE level of DFT.

```
data_Li3AcBi4O12
_cell_length_a 8.223
_cell_length_b 8.223
_cell_length_c 8.223
_cell_angle_alpha 90.00
_cell_angle_beta 90.00
_cell_angle_gamma 90.00
_space_group_name_H-M_alt 'I m -3'
_space_group_IT_number 204
_space_group_name_Hall '-I 2 2 3'
loop_
_atom_site_label
_atom_site_fract_x
_atom_site_fract_y
_atom_site_fract_z
Li1 0.000 0.000 0.500
Ac1 0.000 0.000 0.000
Bi1 0.250 0.250 0.250
O1 0.000 0.297 0.169
```

Summary:
uncorrected formation energy: -1.46 eV/atom



10.
Computed, not measured: an optimized crystal structure of Li4AcBi3O12 at the PBE level of DFT.

```
data_Li4AcBi3O12
_cell_length_a 7.794
_cell_length_b 7.794
_cell_length_c 7.794
_cell_angle_alpha 90.00
_cell_angle_beta 90.00
_cell_angle_gamma 90.00
_space_group_name_H-M_alt 'I m -3'
_space_group_IT_number 204
_space_group_name_Hall '-I 2 2 3'
loop_
_atom_site_label
_atom_site_fract_x
_atom_site_fract_y
_atom_site_fract_z
Li1 0.250 0.250 0.250
Ac1 0.000 0.000 0.000
Bi1 0.000 0.000 0.500
O1 0.000 0.186 0.307
```

Summary:
uncorrected formation energy: -1.26 eV/atom



11.
Computed, not measured: an optimized crystal structure of LiAcBi2O8 at the PBE level of DFT.

```
data_LiAcBi2O8
_cell_length_a 5.5117
_cell_length_b 5.5117
_cell_length_c 6.1778
_cell_angle_alpha 90.00
_cell_angle_beta 90.00
_cell_angle_gamma 120.00
_space_group_name_H-M_alt 'P -3'
_space_group_IT_number 147
_space_group_name_Hall '-P 3'
loop_
_atom_site_label
_atom_site_fract_x
_atom_site_fract_y
_atom_site_fract_z
Li1 0.0000 0.0000 0.0000
Ac1 0.0000 0.0000 0.5000
Bi1 0.3333 0.6667 0.9242
O1 0.0529 0.3417 0.1644
O2 0.3333 0.6667 0.5779
```

Summary:
uncorrected formation energy: -1.12 eV/atom



12.
Computed, not measured: an optimized crystal structure of Li2AcBiO at the PBE level of DFT.

```
data_Li2AcBiO
_cell_length_a 6.793
_cell_length_b 6.793
_cell_length_c 9.773
_cell_angle_alpha 90.00
_cell_angle_beta 90.00
_cell_angle_gamma 90.00
_space_group_name_H-M_alt 'I 4/m c m'
_space_group_IT_number 140
_space_group_name_Hall '-I 4 2c'
loop_
_atom_site_label
_atom_site_fract_x
_atom_site_fract_y
_atom_site_fract_z
Li1 0.202 0.298 0.000
Ac1 0.000 0.000 0.250
Bi1 0.000 0.500 0.250
O1 0.000 0.000 0.000
```

Summary:
uncorrected formation energy: -1.41 eV/atom



Number 1: DOS at the Fermi energy 0.53 states/eV per atom. Number 2: DOS at the Fermi energy 0.68 states/eV per atom. Number 3: DOS at the Fermi energy 0.15 states/eV per atom. Number 4: DOS at the Fermi energy 0.42 states/eV per atom. Number 5: DOS at the Fermi energy 0.62 states/eV per atom. Number 6: DOS at the Fermi energy 0.74 states/eV per atom. Number 7: DOS at the Fermi energy 0.09 states/eV per atom. Number 8: DOS at the Fermi energy 0.00 states/eV per atom. Number 9: DOS at the Fermi energy 0.19 states/eV per atom. Number 10: DOS at the Fermi energy 0.73 states/eV per atom. Number 11: DOS at the Fermi energy 0.57 states/eV per atom. Number 12: DOS at the Fermi energy 0.11 states/eV per atom.